Entry 1:
! Mn2Cr2Hg (GGA-PBE, optimized geometry); values from VASP
! * electronic total energy: -7.04 eV/atom
! * SG: I4/mmm, No. 139
! * density of states at the Fermi level: 4.0 states/eV per cell
&SYSTEM
  ibrav = 0, nat = 5, ntyp = 3
/
ATOMIC_SPECIES
Mn 54.94 Mn.upf
Cr 52.00 Cr.upf
Hg 200.59 Hg.upf
ATOMIC_POSITIONS angstrom
Mn 1.898 0.000 2.455
Mn 0.000 1.898 2.455
Cr 0.000 0.000 1.219
Cr 0.000 0.000 8.600
Hg 0.000 0.000 4.909
CELL_PARAMETERS angstrom
-1.898 1.898 4.909
1.898 -1.898 4.909
1.898 1.898 -4.909

Entry 2:
! MgCdBr (GGA-PBE, optimized geometry); values from VASP
! * electronic total energy: -1.86 eV/atom
! * SG: P3m1, No. 156
! * E_form (uncorrected): -470 meV/atom
! * density of states at the Fermi level: 1.0 states/eV per cell
&SYSTEM
  ibrav = 0, nat = 3, ntyp = 3
/
ATOMIC_SPECIES
Mg 24.30 Mg.upf
Cd 112.41 Cd.upf
Br 79.90 Br.upf
ATOMIC_POSITIONS angstrom
Mg 0.000 0.000 0.000
Cd 1.918 1.108 4.586
Br 0.000 2.215 1.618
CELL_PARAMETERS angstrom
3.837 0.000 0.000
-1.918 3.323 0.000
0.000 0.000 6.500

Entry 3:
! Ba3Bi2Pd4Pb2 (GGA-PBE, optimized geometry); values from VASP
! * electronic total energy: -4.36 eV/atom
! * SG: P-3m1, No. 164
! * density of states at the Fermi level: 6.3 states/eV per cell
&SYSTEM
  ibrav = 0, nat = 11, ntyp = 4
/
ATOMIC_SPECIES
Ba 137.33 Ba.upf
Bi 208.98 Bi.upf
Pd 106.42 Pd.upf
Pb 207.20 Pb.upf
ATOMIC_POSITIONS angstrom
Ba 0.000 0.000 0.000
Ba 0.000 0.000 4.547
Ba 0.000 0.000 11.448
Bi 0.000 2.826 2.463
Bi 2.447 1.413 13.532
Pd 0.000 2.826 6.237
Pd 0.000 2.826 13.736
Pd 2.447 1.413 2.260
Pd 2.447 1.413 9.758
Pb 0.000 2.826 8.989
Pb 2.447 1.413 7.007
CELL_PARAMETERS angstrom
4.894 0.000 0.000
-2.447 4.238 0.000
0.000 0.000 15.995

Entry 4:
! Nb3CoSe6 (GGA-PBE, optimized geometry); values from VASP
! * electronic total energy: -6.34 eV/atom
! * SG: Cmc2_1, No. 36
! * E_form (uncorrected): -522 meV/atom
! * density of states at the Fermi level: 2.8 states/eV per cell
&SYSTEM
  ibrav = 0, nat = 20, ntyp = 3
/
ATOMIC_SPECIES
Nb 92.91 Nb.upf
Co 58.93 Co.upf
Se 78.96 Se.upf
ATOMIC_POSITIONS angstrom
Nb 5.172 5.098 3.100
Nb 3.705 1.551 3.694
Nb 3.705 -1.551 0.593
Nb 6.639 1.551 3.694
Nb 6.639 -1.551 0.593
Nb 5.172 -5.098 0.000
Co 5.172 2.728 1.624
Co 5.172 -2.728 4.725
Se 3.209 3.662 2.278
Se 1.714 0.388 1.861
Se 1.714 -0.388 4.962
Se 5.172 2.966 5.279
Se 7.136 3.662 2.278
Se 5.172 0.436 1.824
Se 5.172 -0.436 4.924
Se 3.209 -3.662 5.379
Se 5.172 -2.966 2.178
Se 8.630 0.388 1.861
Se 8.630 -0.388 4.962
Se 7.136 -3.662 5.379
CELL_PARAMETERS angstrom
5.172 -6.394 0.000
5.172 6.394 0.000
0.000 0.000 6.201

Entry 5:
! Nd10DySc4 (GGA-PBE, optimized geometry); values from VASP
! * electronic total energy: -4.65 eV/atom
! * SG: I4/m, No. 87
! * density of states at the Fermi level: 15.0 states/eV per cell
&SYSTEM
  ibrav = 0, nat = 15, ntyp = 3
/
ATOMIC_SPECIES
Nd 144.24 Nd.upf
Dy 162.50 Dy.upf
Sc 44.96 Sc.upf
ATOMIC_POSITIONS angstrom
Nd 6.923 -3.038 2.488
Nd 2.596 -1.288 1.605
Nd 5.635 0.000 2.046
Nd 8.673 1.288 1.605
Nd 1.288 2.596 1.605
Nd 4.347 3.038 2.488
Nd -3.038 4.347 2.488
Nd 0.000 5.635 2.046
Nd 3.038 6.923 2.488
Nd -1.288 8.673 1.605
Dy 0.000 0.000 0.000
Sc 6.387 3.268 0.000
Sc 3.268 4.883 0.000
Sc 2.367 0.752 4.093
Sc -0.752 2.367 4.093
CELL_PARAMETERS angstrom
-5.635 5.635 4.093
5.635 -5.635 4.093
5.635 5.635 -4.093

Entry 6:
! TlAgTe2 (GGA-PBE, optimized geometry); values from VASP
! * electronic total energy: -3.00 eV/atom
! * SG: P1, No. 1
! * E_form (uncorrected): -124 meV/atom
! * density of states at the Fermi level: 0.0 states/eV per cell
&SYSTEM
  ibrav = 0, nat = 8, ntyp = 3
/
ATOMIC_SPECIES
Tl 204.38 Tl.upf
Ag 107.87 Ag.upf
Te 127.60 Te.upf
ATOMIC_POSITIONS angstrom
Tl 0.000 0.000 0.000
Tl 2.229 3.778 3.695
Ag 2.317 2.085 0.848
Ag 7.715 5.427 6.410
Te 5.609 6.998 5.539
Te 4.731 5.834 2.595
Te 4.669 3.323 6.557
Te 4.721 3.630 0.675
CELL_PARAMETERS angstrom
4.851 0.000 0.000
2.223 6.049 0.000
2.292 1.587 8.691

Entry 7:
! CoPtCl2 (GGA-PBE, optimized geometry); values from VASP
! * electronic total energy: -4.05 eV/atom
! * SG: P4mm, No. 99
! * E_form (uncorrected): 155 meV/atom
! * density of states at the Fermi level: 4.2 states/eV per cell
&SYSTEM
  ibrav = 0, nat = 4, ntyp = 3
/
ATOMIC_SPECIES
Co 58.93 Co.upf
Pt 195.08 Pt.upf
Cl 35.45 Cl.upf
ATOMIC_POSITIONS angstrom
Co 0.000 0.000 0.000
Pt 1.489 1.489 1.649
Cl 0.000 0.000 3.464
Cl 1.489 1.489 7.028
CELL_PARAMETERS angstrom
2.978 0.000 0.000
0.000 2.978 0.000
0.000 0.000 8.464

Entry 8:
! ZnIn2Ag7Sn2 (GGA-PBE, optimized geometry); values from VASP
! * electronic total energy: -2.82 eV/atom
! * SG: C2/m, No. 12
! * density of states at the Fermi level: 4.2 states/eV per cell
&SYSTEM
  ibrav = 0, nat = 12, ntyp = 4
/
ATOMIC_SPECIES
Zn 65.41 Zn.upf
In 114.82 In.upf
Ag 107.87 Ag.upf
Sn 118.71 Sn.upf
ATOMIC_POSITIONS angstrom
Zn 0.000 0.000 0.000
In 0.148 0.000 11.572
In 2.869 0.000 4.304
Ag 1.420 1.407 2.126
Ag 0.111 0.000 8.640
Ag 1.597 1.407 13.749
Ag 2.815 0.000 0.000
Ag 1.420 -1.407 2.126
Ag 2.906 0.000 7.235
Ag 1.597 -1.407 13.749
Sn 0.082 0.000 5.808
Sn 2.935 0.000 10.068
CELL_PARAMETERS angstrom
2.815 -2.816 0.000
2.815 2.816 0.000
-2.613 0.000 15.875